## P
The following is a DFT calculation (PBE) of crystalline NaTcPS2 at its relaxed geometry.

- Fermi-level density of states: 4.89 states/eV/cell
- Total magnetization: 0.284 Bohr magnetons per cell
- SG: P4/mmm, No. 123
- Volume: 21.0 Å³ per atom

a b c (Å): 4.796 4.796 4.568
angles (deg): 90.00 90.00 90.00
Element x y z (fractional)
Na1 0.000 0.000 0.000
Tc1 0.500 0.500 0.500
P1 0.500 0.500 0.000
S1 0.000 0.500 0.500
S2 0.500 0.000 0.500

## Q
The following is a DFT calculation (PBE) of crystalline NaTcPS2 at its relaxed geometry.

- Fermi-level density of states: 6.97 states/eV/cell
- Total magnetization: 0.032 Bohr magnetons per cell
- SG: P4/mmm, No. 123
- Volume: 20.1 Å³ per atom

a b c (Å): 4.662 4.662 4.629
angles (deg): 90.00 90.00 90.00
Element x y z (fractional)
Na1 0.000 0.000 0.000
Tc1 0.500 0.500 0.500
P1 0.000 0.000 0.500
S1 0.000 0.500 0.000
S2 0.500 0.000 0.000

Which of them is the least stable? Correct choice: Q.

## P
The following is a DFT calculation (PBE) of crystalline NaTePS2 at its relaxed geometry.

- Fermi-level density of states: 2.68 states/eV/cell
- Total magnetization: 1.415 Bohr magnetons per cell
- SG: P4/mmm, No. 123
- Volume: 27.6 Å³ per atom

a b c (Å): 5.197 5.197 5.115
angles (deg): 90.00 90.00 90.00
Element x y z (fractional)
Na1 0.000 0.000 0.000
Te1 0.500 0.500 0.500
P1 0.500 0.500 0.000
S1 0.000 0.500 0.500
S2 0.500 0.000 0.500

## Q
The following is a DFT calculation (PBE) of crystalline NaTePS2 at its relaxed geometry.

- Fermi-level density of states: 5.99 states/eV/cell
- Total magnetization: 0.546 Bohr magnetons per cell
- SG: P4/mmm, No. 123
- Volume: 23.4 Å³ per atom

a b c (Å): 4.854 4.854 4.961
angles (deg): 90.00 90.00 90.00
Element x y z (fractional)
Na1 0.000 0.000 0.000
Te1 0.500 0.500 0.500
P1 0.000 0.000 0.500
S1 0.000 0.500 0.000
S2 0.500 0.000 0.000

Which of them is the least stable? Correct choice: Q.

## P
The following is a DFT calculation (PBE) of crystalline NaTiP2S at its relaxed geometry.

- Fermi-level density of states: 3.21 states/eV/cell
- Total magnetization: 0.000 Bohr magnetons per cell
- SG: P4/mmm, No. 123
- Volume: 21.6 Å³ per atom

a b c (Å): 4.744 4.744 4.792
angles (deg): 90.00 90.00 90.00
Element x y z (fractional)
Na1 0.000 0.000 0.000
Ti1 0.500 0.500 0.500
P1 0.000 0.500 0.500
P2 0.500 0.000 0.500
S1 0.500 0.500 0.000

## Q
The following is a DFT calculation (PBE) of crystalline NaTiP2S at its relaxed geometry.

- Fermi-level density of states: 6.75 states/eV/cell
- Total magnetization: 1.161 Bohr magnetons per cell
- SG: P4/mmm, No. 123
- Volume: 21.1 Å³ per atom

a b c (Å): 4.729 4.729 4.727
angles (deg): 90.00 90.00 90.00
Element x y z (fractional)
Na1 0.000 0.000 0.000
Ti1 0.500 0.500 0.500
P1 0.000 0.500 0.000
P2 0.500 0.000 0.000
S1 0.000 0.000 0.500

Which of them is the least stable? Correct choice: Q.

## P
The following is a DFT calculation (PBE) of crystalline NaP2WS at its relaxed geometry.

- Fermi-level density of states: 8.21 states/eV/cell
- Total magnetization: 0.000 Bohr magnetons per cell
- SG: P4/mmm, No. 123
- Volume: 19.3 Å³ per atom

a b c (Å): 4.599 4.599 4.561
angles (deg): 90.00 90.00 90.00
Element x y z (fractional)
Na1 0.000 0.000 0.000
P1 0.000 0.500 0.000
P2 0.500 0.000 0.000
W1 0.500 0.500 0.500
S1 0.000 0.000 0.500

## Q
The following is a DFT calculation (PBE) of crystalline NaP2WS at its relaxed geometry.

- Fermi-level density of states: 3.62 states/eV/cell
- Total magnetization: 0.000 Bohr magnetons per cell
- SG: P4/mmm, No. 123
- Volume: 21.6 Å³ per atom

a b c (Å): 4.737 4.737 4.812
angles (deg): 90.00 90.00 90.00
Element x y z (fractional)
Na1 0.000 0.000 0.000
P1 0.000 0.500 0.500
P2 0.500 0.000 0.500
W1 0.500 0.500 0.500
S1 0.500 0.500 0.000

Which of them is the least stable? Correct choice: P.

## P
The following is a DFT calculation (PBE) of crystalline NaPWS2 at its relaxed geometry.

- Fermi-level density of states: 3.76 states/eV/cell
- Total magnetization: 0.000 Bohr magnetons per cell
- SG: P4/mmm, No. 123
- Volume: 21.5 Å³ per atom

a b c (Å): 4.760 4.760 4.744
angles (deg): 90.00 90.00 90.00
Element x y z (fractional)
Na1 0.000 0.000 0.000
P1 0.500 0.500 0.000
W1 0.500 0.500 0.500
S1 0.000 0.500 0.500
S2 0.500 0.000 0.500

## Q
The following is a DFT calculation (PBE) of crystalline NaPWS2 at its relaxed geometry.

- Fermi-level density of states: 8.10 states/eV/cell
- Total magnetization: 0.000 Bohr magnetons per cell
- SG: P4/mmm, No. 123
- Volume: 19.5 Å³ per atom

a b c (Å): 4.601 4.601 4.597
angles (deg): 90.00 90.00 90.00
Element x y z (fractional)
Na1 0.000 0.000 0.000
P1 0.000 0.000 0.500
W1 0.500 0.500 0.500
S1 0.000 0.500 0.000
S2 0.500 0.000 0.000

Which of them is the least stable? Correct choice: Q.

## P
The following is a DFT calculation (PBE) of crystalline NaZnPS2 at its relaxed geometry.

- Fermi-level density of states: 5.60 states/eV/cell
- Total magnetization: 0.000 Bohr magnetons per cell
- SG: P4/mmm, No. 123
- Volume: 23.2 Å³ per atom

a b c (Å): 4.884 4.884 4.871
angles (deg): 90.00 90.00 90.00
Element x y z (fractional)
Na1 0.000 0.000 0.000
Zn1 0.500 0.500 0.500
P1 0.000 0.000 0.500
S1 0.000 0.500 0.000
S2 0.500 0.000 0.000

## Q
The following is a DFT calculation (PBE) of crystalline NaZnPS2 at its relaxed geometry.

- Fermi-level density of states: 3.53 states/eV/cell
- Total magnetization: 0.000 Bohr magnetons per cell
- SG: P4/mmm, No. 123
- Volume: 21.9 Å³ per atom

a b c (Å): 4.910 4.910 4.532
angles (deg): 90.00 90.00 90.00
Element x y z (fractional)
Na1 0.000 0.000 0.000
Zn1 0.500 0.500 0.500
P1 0.500 0.500 0.000
S1 0.000 0.500 0.500
S2 0.500 0.000 0.500

Which of them is the least stable? Correct choice: P.

## P
The following is a DFT calculation (PBE) of crystalline Na3SbP at its relaxed geometry.

- Fermi-level density of states: 2.87 states/eV/cell
- Total magnetization: 2.751 Bohr magnetons per cell
- SG: Pm-3m, No. 221
- Volume: 31.8 Å³ per atom

a b c (Å): 5.417 5.417 5.417
angles (deg): 90.00 90.00 90.00
Element x y z (fractional)
Na1 0.000 0.000 0.500
Na2 0.000 0.500 0.000
Na3 0.500 0.000 0.000
Sb1 0.500 0.500 0.500
P1 0.000 0.000 0.000

## Q
The following is a DFT calculation (PBE) of crystalline Na3SbP at its relaxed geometry.

- Fermi-level density of states: 1.09 states/eV/cell
- Total magnetization: 3.000 Bohr magnetons per cell
- SG: Pm-3m, No. 221
- Volume: 40.9 Å³ per atom

a b c (Å): 5.889 5.889 5.889
angles (deg): 90.00 90.00 90.00
Element x y z (fractional)
Na1 0.000 0.000 0.500
Na2 0.000 0.500 0.000
Na3 0.500 0.000 0.000
Sb1 0.000 0.000 0.000
P1 0.500 0.500 0.500

Which of them is the least stable? Correct choice: Q.

## P
The following is a DFT calculation (PBE) of crystalline Na2SbP2 at its relaxed geometry.

- Fermi-level density of states: 2.50 states/eV/cell
- Total magnetization: 0.000 Bohr magnetons per cell
- SG: P4/mbm, No. 127
- Volume: 22.6 Å³ per atom

a b c (Å): 7.093 7.093 4.495
angles (deg): 90.00 90.00 90.00
Element x y z (fractional)
Na1 0.180 0.320 0.000
Na2 0.320 0.820 0.000
Na3 0.680 0.180 0.000
Na4 0.820 0.680 0.000
Sb1 0.000 0.000 0.500
Sb2 0.500 0.500 0.500
P1 0.110 0.610 0.500
P2 0.390 0.110 0.500
P3 0.610 0.890 0.500
P4 0.890 0.390 0.500

## Q
The following is a DFT calculation (PBE) of crystalline Na2SbP2 at its relaxed geometry.

- Fermi-level density of states: 3.26 states/eV/cell
- Total magnetization: 0.000 Bohr magnetons per cell
- SG: I4/mmm, No. 139
- Volume: 22.4 Å³ per atom

a b c (Å): 6.468 6.468 6.468
angles (deg): 139.74 139.74 58.25
Element x y z (fractional)
Na1 0.250 0.750 0.500
Na2 0.750 0.250 0.500
Sb1 0.000 0.000 0.000
P1 0.407 0.407 0.000
P2 0.593 0.593 0.000

Which of them is the least stable? Correct choice: Q.

## P
The following is a DFT calculation (PBE) of crystalline Na2SbP at its relaxed geometry.

- Fermi-level density of states: 1.89 states/eV/cell
- Total magnetization: 0.000 Bohr magnetons per cell
- SG: Fm-3m, No. 225
- Volume: 22.9 Å³ per atom

a b c (Å): 5.061 5.061 5.061
angles (deg): 60.00 60.00 60.00
Element x y z (fractional)
Na1 0.250 0.250 0.250
Na2 0.750 0.750 0.750
Sb1 0.000 0.000 0.000
P1 0.500 0.500 0.500

## Q
The following is a DFT calculation (PBE) of crystalline Na2SbP at its relaxed geometry.

- Fermi-level density of states: 5.51 states/eV/cell
- Total magnetization: 0.000 Bohr magnetons per cell
- SG: I-42d, No. 122
- Volume: 27.8 Å³ per atom

a b c (Å): 6.976 6.976 6.976
angles (deg): 98.50 98.50 134.78
Element x y z (fractional)
Na1 0.037 0.125 0.412
Na2 0.375 0.963 0.088
Na3 0.713 0.625 0.588
Na4 0.875 0.287 0.912
Sb1 0.250 0.750 0.500
Sb2 0.500 0.500 0.000
P1 0.000 0.000 0.000
P2 0.750 0.250 0.500

Which of them is the least stable? Correct choice: P.

## P
The following is a DFT calculation (PBE) of crystalline Na8Sb2P at its relaxed geometry.

- Fermi-level density of states: 9.00 states/eV/cell
- Total magnetization: 0.000 Bohr magnetons per cell
- SG: Immm, No. 71
- Volume: 26.9 Å³ per atom

a b c (Å): 9.144 9.144 9.144
angles (deg): 146.62 134.75 57.39
Element x y z (fractional)
Na1 0.119 0.364 0.755
Na2 0.193 0.193 0.000
Na3 0.243 0.000 0.243
Na4 0.391 0.636 0.755
Na5 0.609 0.364 0.245
Na6 0.757 0.000 0.757
Na7 0.807 0.807 0.000
Na8 0.881 0.636 0.245
Sb1 0.320 0.820 0.500
Sb2 0.680 0.180 0.500
P1 0.000 0.500 0.500

## Q
The following is a DFT calculation (PBE) of crystalline Na8Sb2P at its relaxed geometry.

- Fermi-level density of states: 7.20 states/eV/cell
- Total magnetization: 0.000 Bohr magnetons per cell
- SG: Imm2, No. 44
- Volume: 27.7 Å³ per atom

a b c (Å): 9.284 9.284 9.284
angles (deg): 149.77 59.15 130.45
Element x y z (fractional)
Na1 0.000 0.000 0.000
Na2 0.185 0.535 0.650
Na3 0.269 0.363 0.906
Na4 0.322 0.024 0.298
Na5 0.457 0.363 0.094
Na6 0.647 0.147 0.500
Na7 0.727 0.024 0.702
Na8 0.885 0.535 0.350
Sb1 0.597 0.753 0.843
Sb2 0.910 0.753 0.157
P1 0.258 0.758 0.500

Which of them is the least stable? Correct choice: Q.

## P
The following is a DFT calculation (PBE) of crystalline NaSb2TeP at its relaxed geometry.

- Fermi-level density of states: 5.79 states/eV/cell
- Total magnetization: 0.000 Bohr magnetons per cell
- SG: P4/mmm, No. 123
- Volume: 30.4 Å³ per atom

a b c (Å): 5.329 5.329 5.358
angles (deg): 90.00 90.00 90.00
Element x y z (fractional)
Na1 0.000 0.000 0.000
Sb1 0.000 0.500 0.000
Sb2 0.500 0.000 0.000
Te1 0.000 0.000 0.500
P1 0.500 0.500 0.500

## Q
The following is a DFT calculation (PBE) of crystalline NaSb2TeP at its relaxed geometry.

- Fermi-level density of states: 5.99 states/eV/cell
- Total magnetization: 0.000 Bohr magnetons per cell
- SG: P4/mmm, No. 123
- Volume: 30.3 Å³ per atom

a b c (Å): 5.228 5.228 5.545
angles (deg): 90.00 90.00 90.00
Element x y z (fractional)
Na1 0.000 0.000 0.000
Sb1 0.000 0.500 0.500
Sb2 0.500 0.000 0.500
Te1 0.500 0.500 0.000
P1 0.500 0.500 0.500

Which of them is the least stable? Correct choice: P.

## P
The following is a DFT calculation (PBE) of crystalline NaSbTe2P at its relaxed geometry.

- Fermi-level density of states: 6.13 states/eV/cell
- Total magnetization: 0.000 Bohr magnetons per cell
- SG: P4/mmm, No. 123
- Volume: 31.0 Å³ per atom

a b c (Å): 5.388 5.388 5.337
angles (deg): 90.00 90.00 90.00
Element x y z (fractional)
Na1 0.000 0.000 0.000
Sb1 0.000 0.000 0.500
Te1 0.000 0.500 0.000
Te2 0.500 0.000 0.000
P1 0.500 0.500 0.500

## Q
The following is a DFT calculation (PBE) of crystalline NaSbTe2P at its relaxed geometry.

- Fermi-level density of states: 3.46 states/eV/cell
- Total magnetization: 0.000 Bohr magnetons per cell
- SG: P4/mmm, No. 123
- Volume: 30.9 Å³ per atom

a b c (Å): 5.527 5.527 5.064
angles (deg): 90.00 90.00 90.00
Element x y z (fractional)
Na1 0.000 0.000 0.000
Sb1 0.500 0.500 0.000
Te1 0.000 0.500 0.500
Te2 0.500 0.000 0.500
P1 0.500 0.500 0.500

Which of them is the least stable? Correct choice: P.